1.
This record from the Alexandria database describes a relaxed structure of TaCrN. The functional is GGA-PBE.

Computed properties:
Volume (Å³/atom): 11.75
Formation energy (no corrections) (eV per atom): -0.61
Symmetry: P2/m
E (eV per atom): -10.544

Lattice parameters (Å, degrees): 4.746 2.921 5.105 90.00 94.91 90.00
Fractional coordinates of all 6 atoms:
Ta1 0.249 0.000 0.316
Ta2 0.751 0.000 0.684
Cr1 0.265 0.500 0.827
Cr2 0.735 0.500 0.173
N1 0.000 0.500 0.500
N2 0.500 0.000 0.000


2.
This record from the Alexandria database describes a relaxed structure of Sm2Y5Bi4. The functional is GGA-PBE.

Computed properties:
Volume (Å³/atom): 31.34
Symmetry: C2/m
ΔH_f (0 K) (eV/atom): -0.533
E (eV per atom): -5.741

Lattice parameters (Å, degrees): 9.814 9.814 7.643 91.94 91.94 27.94
Fractional coordinates of all 11 atoms:
Sm1 0.151 0.151 0.140
Sm2 0.849 0.849 0.860
Y1 0.219 0.219 0.640
Y2 0.412 0.412 0.534
Y3 0.500 0.500 0.000
Y4 0.588 0.588 0.466
Y5 0.781 0.781 0.360
Bi1 0.020 0.020 0.726
Bi2 0.328 0.328 0.125
Bi3 0.672 0.672 0.875
Bi4 0.980 0.980 0.274


3.
This record from the Alexandria database describes a relaxed structure of CoPbSe2. The functional is GGA-PBE.

Computed properties:
Volume (Å³/atom): 20.98
Formation energy (no corrections) (eV per atom): 0.59
Symmetry: F-43m
E (eV per atom): -3.855

Lattice parameters (Å, degrees): 4.914 4.914 4.914 60.00 60.00 60.00
Fractional coordinates of all 4 atoms:
Co1 0.000 0.000 0.000
Pb1 0.250 0.250 0.250
Se1 0.500 0.500 0.500
Se2 0.750 0.750 0.750


4.
This record from the Alexandria database describes a relaxed structure of BeAgRh2. The functional is GGA-PBE.

Computed properties:
Volume (Å³/atom): 13.86
Symmetry: P2/m
ΔH_f (0 K) (eV/atom): 0.008
E (eV per atom): -5.312

Lattice parameters (Å, degrees): 2.790 3.781 5.391 90.00 103.00 90.00
Fractional coordinates of all 4 atoms:
Be1 0.000 0.000 0.000
Ag1 0.000 0.000 0.500
Rh1 0.362 0.500 0.212
Rh2 0.638 0.500 0.788